1.
The following is a DFT calculation (GGA-PBE) of La4Pr10Y after structural relaxation.

Calculated values
V: 37.19 Å³ per atom
symmetry: I4/mmm, No. 139
formation energy from the elements: 0.207 eV per atom
total energy: -4.724 eV/atom

a b c (Å): 8.0624 9.2435 9.2435
angles (deg): 79.04 64.14 64.14
With the nearest neighbours (Å) after each atom.
Atoms (fractional coordinates):
1 Pr 0.7500 0.5000 0.5000  4 Pr 3.42
2 La 0.2270 0.9995 0.5465  8 Pr 3.55-3.71, 1 Y 3.77
3 Pr 0.5004 0.7891 0.7890  4 Pr 3.39-3.51, 1 Y 3.41, 4 La 3.55-3.71
4 Pr 0.4996 0.2109 0.2110  4 Pr 3.39-3.51, 1 Y 3.41, 4 La 3.55-3.71
5 Pr 0.2896 0.7890 0.2109  4 Pr 3.39-3.51, 1 Y 3.41, 4 La 3.55-3.71
6 Pr 0.2894 0.2110 0.7891  4 Pr 3.39-3.51, 1 Y 3.41, 4 La 3.55-3.71
7 Pr 0.2500 0.5000 0.5000  4 Pr 3.42
8 Pr 0.7106 0.7890 0.2109  4 Pr 3.39-3.51, 1 Y 3.41, 4 La 3.55-3.71
9 Y 0.0000 0.0000 0.0000  8 Pr 3.41, 4 La 3.77
10 La 0.7730 0.0005 0.4535  8 Pr 3.55-3.71, 1 Y 3.77
11 La 0.7735 0.4535 0.9995  8 Pr 3.55-3.71, 1 Y 3.77
12 La 0.2265 0.5465 0.0005  8 Pr 3.55-3.71, 1 Y 3.77
13 Pr 0.0786 0.2109 0.2110  4 Pr 3.39-3.51, 1 Y 3.41, 4 La 3.55-3.71
14 Pr 0.9214 0.7891 0.7890  4 Pr 3.39-3.51, 1 Y 3.41, 4 La 3.55-3.71
15 Pr 0.7104 0.2110 0.7891  4 Pr 3.39-3.51, 1 Y 3.41, 4 La 3.55-3.71

***

2.
The following is a DFT calculation (GGA-PBE) of La5Pr7Y after structural relaxation.

Calculated values
V: 36.73 Å³ per atom
symmetry: Imm2, No. 44
formation energy from the elements: 0.198 eV per atom
total energy: -4.768 eV/atom

a b c (Å): 6.9850 8.9882 8.9882
angles (deg): 77.18 67.13 67.13
With the nearest neighbours (Å) after each atom.
Atoms (fractional coordinates):
1 La 0.4399 0.5629 0.0014  2 La 3.10-3.19, 1 Pr 3.46
2 La 0.4399 0.0014 0.5629  2 La 3.10-3.19, 1 Pr 3.46
3 Pr 0.7289 0.2711 0.2711  3 Pr 3.50-3.64, 1 Y 3.64, 4 La 3.70
4 Pr 0.2458 0.2542 0.2542  6 Pr 3.46-3.81, 4 La 3.53
5 Y 0.0272 0.9728 0.9728  7 Pr 3.63-4.01, 4 La 3.72
6 La 0.7672 0.7328 0.7328  4 La 3.19, 2 Pr 3.30
7 Pr 0.4834 0.1860 0.8471  5 Pr 3.46-3.88, 4 La 3.50-3.80
8 La 0.9957 0.5629 0.0014  2 La 3.10-3.19, 1 Pr 3.46
9 La 0.9957 0.0014 0.5629  2 La 3.10-3.19, 1 Pr 3.46
10 Pr 0.9812 0.3382 0.6993  3 La 3.30-3.46, 1 Y 3.63
11 Pr 0.4834 0.8471 0.1860  5 Pr 3.46-3.88, 4 La 3.50-3.80
12 Pr 0.4303 0.5697 0.5697  3 Pr 3.64-3.76, 6 La 3.89-4.02
13 Pr 0.9812 0.6993 0.3382  3 La 3.30-3.46, 1 Y 3.63

***

3.
The following is a DFT calculation (GGA-PBE) of La2PrY4 after structural relaxation.

Calculated values
V: 35.89 Å³ per atom
symmetry: P-1, No. 2
formation energy from the elements: 0.212 eV per atom
total energy: -5.572 eV/atom

a b c (Å): 6.9710 7.1188 10.5668
angles (deg): 90.00 89.99 106.63
With the nearest neighbours (Å) after each atom.
Atoms (fractional coordinates):
1 Pr 0.5000 0.5000 0.0000  8 Y 3.46-3.83, 2 Pr 3.49
2 Y 0.7300 0.6888 0.7192  2 La 3.38-3.49, 1 Pr 3.46, 5 Y 3.53-3.70
3 Y 0.7265 0.1887 0.2150  1 Pr 3.36, 2 La 3.47-3.49, 5 Y 3.53-3.70
4 Y 0.2721 0.3118 0.7186  2 La 3.38-3.49, 1 Pr 3.46, 5 Y 3.53-3.70
5 La 0.0000 0.0000 0.5000  4 Y 3.38, 4 La 3.49-3.56
6 Y 0.7287 0.1894 0.7843  1 Pr 3.36, 2 La 3.47-3.49, 5 Y 3.53-3.70
7 La 0.0000 0.5000 0.5000  8 Y 3.49-3.90, 2 La 3.56
8 Y 0.2713 0.8106 0.2157  1 Pr 3.36, 2 La 3.47-3.49, 5 Y 3.53-3.70
9 Y 0.7279 0.6882 0.2814  2 La 3.38-3.49, 1 Pr 3.46, 5 Y 3.53-3.70
10 Pr 0.0000 0.5000 0.0000  4 Y 3.36, 2 Pr 3.49, 2 La 3.56
11 Y 0.2700 0.3112 0.2808  2 La 3.38-3.49, 1 Pr 3.46, 5 Y 3.53-3.70
12 La 0.5000 0.0000 0.5000  2 La 3.49, 8 Y 3.49-3.86
13 La 0.0000 0.0000 0.0000  8 Y 3.47-3.87, 2 Pr 3.56
14 Y 0.2735 0.8113 0.7850  1 Pr 3.36, 2 La 3.47-3.49, 5 Y 3.53-3.70

***

4.
The following is a DFT calculation (GGA-PBE) of La3Pr6Y after structural relaxation.

Calculated values
V: 36.55 Å³ per atom
symmetry: Cmc2_1, No. 36
formation energy from the elements: 0.161 eV per atom
total energy: -4.831 eV/atom

a b c (Å): 6.4542 10.7358 10.7358
angles (deg): 100.71 90.00 90.00
With the nearest neighbours (Å) after each atom.
Atoms (fractional coordinates):
1 La 0.0921 0.3652 0.6348  8 Pr 3.53-3.92, 1 Y 3.55
2 La 0.5921 0.6348 0.3652  8 Pr 3.53-3.92, 1 Y 3.55
3 La 0.9573 0.1363 0.2770  3 Pr 3.30-3.43, 1 Y 3.62
4 Pr 0.9021 0.4358 0.0151  4 Pr 3.46-3.68, 1 Y 3.69, 2 La 3.70-3.76
5 Pr 0.6179 0.2583 0.7417  1 Y 3.33, 5 Pr 3.33-3.68, 1 La 3.53
6 Pr 0.1179 0.7417 0.2583  1 Y 3.33, 5 Pr 3.33-3.68, 1 La 3.53
7 La 0.4573 0.2770 0.1363  3 Pr 3.30-3.43, 1 Y 3.62
8 Pr 0.5758 0.5600 0.6798  3 Pr 3.28-3.46, 3 La 3.30-3.61
9 Y 0.6786 0.8470 0.1530  3 Pr 3.29-3.56, 3 La 3.55-3.62
10 Pr 0.5758 0.3202 0.4400  3 Pr 3.28-3.46, 3 La 3.30-3.61
11 Pr 0.7264 0.0613 0.9387  2 Y 3.29-3.56, 2 La 3.32, 1 Pr 3.33
12 Pr 0.9021 0.9849 0.5642  4 Pr 3.46-3.68, 1 Y 3.69, 2 La 3.70-3.76
13 Pr 0.0758 0.6798 0.5600  3 Pr 3.28-3.46, 3 La 3.30-3.61
14 La 0.9573 0.7230 0.8637  3 Pr 3.30-3.43, 1 Y 3.62
15 Pr 0.0758 0.4400 0.3202  3 Pr 3.28-3.46, 3 La 3.30-3.61
16 La 0.4573 0.8637 0.7230  3 Pr 3.30-3.43, 1 Y 3.62
17 Pr 0.2264 0.9387 0.0613  2 Y 3.29-3.56, 2 La 3.32, 1 Pr 3.33
18 Y 0.1786 0.1530 0.8470  3 Pr 3.29-3.56, 3 La 3.55-3.62
19 Pr 0.4021 0.0151 0.4358  4 Pr 3.46-3.68, 1 Y 3.69, 2 La 3.70-3.76
20 Pr 0.4021 0.5642 0.9849  4 Pr 3.46-3.68, 1 Y 3.69, 2 La 3.70-3.76

***

5.
The following is a DFT calculation (GGA-PBE) of LaPrY6 after structural relaxation.

Calculated values
V: 34.30 Å³ per atom
symmetry: R-3, No. 148
formation energy from the elements: 0.139 eV per atom
total energy: -5.922 eV/atom

a b c (Å): 8.7316 9.7389 6.5397
angles (deg): 41.91 48.11 56.09
With the nearest neighbours (Å) after each atom.
Atoms (fractional coordinates):
1 Y 0.4568 0.2511 0.3333  4 Y 3.36-3.41, 1 La 3.56, 1 Pr 3.57
2 La 0.0000 0.0000 0.0000  12 Y 3.56-3.80
3 Y 0.7489 0.9587 0.7493  4 Y 3.36-3.41, 1 La 3.56, 1 Pr 3.57
4 Pr 0.5000 0.5000 0.5000  12 Y 3.57-3.79
5 Y 0.9591 0.4568 0.8350  4 Y 3.36-3.41, 1 La 3.56, 1 Pr 3.57
6 Y 0.0409 0.5432 0.1650  4 Y 3.36-3.41, 1 La 3.56, 1 Pr 3.57
7 Y 0.5432 0.7489 0.6667  4 Y 3.36-3.41, 1 La 3.56, 1 Pr 3.57
8 Y 0.2511 0.0413 0.2507  4 Y 3.36-3.41, 1 La 3.56, 1 Pr 3.57

***

6.
The following is a DFT calculation (GGA-PBE) of LaPr9Y2 after structural relaxation.

Calculated values
V: 35.63 Å³ per atom
symmetry: P4/mmm, No. 123
formation energy from the elements: 0.013 eV per atom
total energy: -5.059 eV/atom

a b c (Å): 5.2205 5.2205 15.6903
angles (deg): 90.00 90.00 90.00
With the nearest neighbours (Å) after each atom.
Atoms (fractional coordinates):
1 Y 0.0000 0.0000 0.3346  12 Pr 3.68-3.69
2 Pr 0.5000 0.0000 0.1693  2 Y 3.68, 8 Pr 3.69-3.72, 2 La 3.72
3 Pr 0.5000 0.0000 0.5000  8 Pr 3.67-3.69, 4 Y 3.68
4 La 0.0000 0.0000 0.0000  12 Pr 3.69-3.72
5 Pr 0.0000 0.5000 0.8307  2 Y 3.68, 8 Pr 3.69-3.72, 2 La 3.72
6 Pr 0.5000 0.5000 0.0000  4 La 3.69, 8 Pr 3.72
7 Pr 0.5000 0.5000 0.6642  8 Pr 3.67-3.69, 4 Y 3.69
8 Pr 0.0000 0.5000 0.1693  2 Y 3.68, 8 Pr 3.69-3.72, 2 La 3.72
9 Y 0.0000 0.0000 0.6654  12 Pr 3.68-3.69
10 Pr 0.5000 0.5000 0.3358  8 Pr 3.67-3.69, 4 Y 3.69
11 Pr 0.0000 0.5000 0.5000  8 Pr 3.67-3.69, 4 Y 3.68
12 Pr 0.5000 0.0000 0.8307  2 Y 3.68, 8 Pr 3.69-3.72, 2 La 3.72

***

7.
The following is a DFT calculation (GGA-PBE) of La5Pr4Y after structural relaxation.

Calculated values
V: 36.28 Å³ per atom
symmetry: C2/m, No. 12
formation energy from the elements: 0.032 eV per atom
total energy: -4.990 eV/atom

a b c (Å): 3.6624 11.8272 12.3252
angles (deg): 135.92 98.54 90.00
With the nearest neighbours (Å) after each atom.
Atoms (fractional coordinates):
1 Pr 0.6060 0.9133 0.2120  6 La 3.39-3.79, 1 Y 3.40, 4 Pr 3.66-3.69
2 La 0.8084 0.2038 0.6168  4 Pr 3.39-3.72, 4 La 3.66-3.70
3 La 0.5000 0.5000 0.0000  6 Pr 3.50-3.77, 6 La 3.66-3.70
4 La 0.2059 0.3047 0.4118  5 Pr 3.60-3.95, 6 La 3.66-3.92, 2 Y 3.91
5 Y 0.5000 0.0000 0.0000  6 Pr 3.40-3.75, 2 Y 3.66
6 La 0.1916 0.7962 0.3832  4 Pr 3.39-3.72, 4 La 3.66-3.70
7 Pr 0.3940 0.0867 0.7880  6 La 3.39-3.79, 1 Y 3.40, 4 Pr 3.66-3.69
8 La 0.7941 0.6953 0.5882  5 Pr 3.60-3.95, 6 La 3.66-3.92, 2 Y 3.91
9 Pr 0.0853 0.3762 0.1706  6 La 3.56-3.95, 4 Pr 3.66-3.69, 2 Y 3.75
10 Pr 0.9147 0.6238 0.8294  6 La 3.56-3.95, 4 Pr 3.66-3.69, 2 Y 3.75

***

8.
The following is a DFT calculation (GGA-PBE) of La5PrY6 after structural relaxation.

Calculated values
V: 34.58 Å³ per atom
symmetry: C2/m, No. 12
formation energy from the elements: 0.021 eV per atom
total energy: -5.662 eV/atom

a b c (Å): 6.2385 7.4314 9.7009
angles (deg): 112.55 92.38 89.97
With the nearest neighbours (Å) after each atom.
Atoms (fractional coordinates):
1 Y 0.1667 0.4163 0.3329  1 Pr 3.63, 7 La 3.63-3.64, 4 Y 3.71-3.72
2 Y 0.8333 0.0834 0.6671  1 Pr 3.63, 7 La 3.63-3.64, 4 Y 3.71-3.72
3 La 0.6662 0.1662 0.3323  8 Y 3.62-3.64, 1 Pr 3.71, 3 La 3.72
4 Y 0.1667 0.9166 0.3329  1 Pr 3.63, 7 La 3.63-3.64, 4 Y 3.71-3.72
5 Pr 0.0000 0.0000 0.0000  8 Y 3.63, 4 La 3.71-3.72
6 Y 0.8333 0.5837 0.6671  1 Pr 3.63, 7 La 3.63-3.64, 4 Y 3.71-3.72
7 Y 0.5000 0.7504 0.0000  6 La 3.62-3.63, 2 Pr 3.63, 4 Y 3.71-3.72
8 La 0.3339 0.3333 0.6666  8 Y 3.63-3.64, 4 La 3.72
9 Y 0.5000 0.2496 0.0000  6 La 3.62-3.63, 2 Pr 3.63, 4 Y 3.71-3.72
10 La 0.3338 0.8338 0.6677  8 Y 3.62-3.64, 1 Pr 3.71, 3 La 3.72
11 La 0.6661 0.6667 0.3334  8 Y 3.63-3.64, 4 La 3.72
12 La 0.0000 0.5000 0.0000  8 Y 3.63, 2 Pr 3.72, 2 La 3.72